*one*
Here is a relaxed HgTeP2 crystal from Alexandria via LeMat-Bulk. Energies are from PBE.

```
data_HgTeP2
_cell_length_a 3.7374
_cell_length_b 4.0162
_cell_length_c 8.0738
_cell_angle_alpha 90.00
_cell_angle_beta 90.00
_cell_angle_gamma 90.00
_symmetry_space_group_name_H-M 'P m m m'
_symmetry_Int_Tables_number 47
_symmetry_space_group_name_Hall '-P 2 2'
loop_
_atom_site_label
_atom_site_type_symbol
_atom_site_fract_x
_atom_site_fract_y
_atom_site_fract_z
_atom_site_occupancy
Hg1 Hg 0.0000 0.0000 0.0000 1
Te1 Te 0.0000 0.0000 0.5000 1
P1 P 0.5000 0.5000 0.3692 1
```

*two*
Here is a relaxed HgTeP2 crystal from Alexandria via LeMat-Bulk. Energies are from PBE.

```
data_HgTeP2
_cell_length_a 3.0346
_cell_length_b 3.0346
_cell_length_c 10.6449
_cell_angle_alpha 90.00
_cell_angle_beta 90.00
_cell_angle_gamma 90.00
_symmetry_space_group_name_H-M 'P 4 m m'
_symmetry_Int_Tables_number 99
_symmetry_space_group_name_Hall 'P 4 -2'
loop_
_atom_site_label
_atom_site_type_symbol
_atom_site_fract_x
_atom_site_fract_y
_atom_site_fract_z
_atom_site_occupancy
Hg1 Hg 0.0000 0.0000 0.0000 1
Te1 Te 0.5000 0.5000 0.6818 1
P1 P 0.0000 0.0000 0.3820 1
P2 P 0.5000 0.5000 0.2860 1
```

So which one wins? Going from most stable to least: *two*, *one*.

*one*
Here is a relaxed HgTeP2 crystal from Alexandria via LeMat-Bulk. Energies are from PBE.

```
data_HgTeP2
_cell_length_a 5.5713
_cell_length_b 3.1973
_cell_length_c 6.3041
_cell_angle_alpha 90.00
_cell_angle_beta 105.79
_cell_angle_gamma 90.00
_symmetry_space_group_name_H-M 'P 1 m 1'
_symmetry_Int_Tables_number 6
_symmetry_space_group_name_Hall 'P -2y'
loop_
_atom_site_label
_atom_site_type_symbol
_atom_site_fract_x
_atom_site_fract_y
_atom_site_fract_z
_atom_site_occupancy
Hg1 Hg 0.0000 0.0000 0.0000 1
Te1 Te 0.9811 0.5000 0.4821 1
P1 P 0.4470 0.5000 0.6921 1
P2 P 0.4766 0.0000 0.9376 1
```

*two*
Here is a relaxed HgTeP2 crystal from Alexandria via LeMat-Bulk. Energies are from PBE.

```
data_HgTeP2
_cell_length_a 3.7368
_cell_length_b 7.9088
_cell_length_c 7.4230
_cell_angle_alpha 90.00
_cell_angle_beta 90.00
_cell_angle_gamma 90.00
_symmetry_space_group_name_H-M 'C m m m'
_symmetry_Int_Tables_number 65
_symmetry_space_group_name_Hall '-C 2 2'
loop_
_atom_site_label
_atom_site_type_symbol
_atom_site_fract_x
_atom_site_fract_y
_atom_site_fract_z
_atom_site_occupancy
Hg1 Hg 0.0000 0.0000 0.0000 1
Te1 Te 0.0000 0.0000 0.5000 1
P1 P 0.0000 0.5000 0.2497 1
```

*three*
Here is a relaxed HgTeP2 crystal from Alexandria via LeMat-Bulk. Energies are from PBE.

```
data_HgTeP2
_cell_length_a 6.9202
_cell_length_b 6.9202
_cell_length_c 6.9202
_cell_angle_alpha 90.00
_cell_angle_beta 90.00
_cell_angle_gamma 90.00
_symmetry_space_group_name_H-M 'F -4 3 m'
_symmetry_Int_Tables_number 216
_symmetry_space_group_name_Hall 'F -4 2 3'
loop_
_atom_site_label
_atom_site_type_symbol
_atom_site_fract_x
_atom_site_fract_y
_atom_site_fract_z
_atom_site_occupancy
Hg1 Hg 0.0000 0.0000 0.0000 1
Te1 Te 0.2500 0.2500 0.7500 1
P1 P 0.0000 0.0000 0.5000 1
P2 P 0.2500 0.2500 0.2500 1
```

So which one wins? Going from most stable to least: *one*, *two*, *three*.

*one*
Here is a relaxed HgTeP2 crystal from Alexandria via LeMat-Bulk. Energies are from PBE.

```
data_HgTeP2
_cell_length_a 3.8085
_cell_length_b 3.8085
_cell_length_c 12.9214
_cell_angle_alpha 90.00
_cell_angle_beta 90.00
_cell_angle_gamma 90.00
_symmetry_space_group_name_H-M 'I -4 m 2'
_symmetry_Int_Tables_number 119
_symmetry_space_group_name_Hall 'I -4 -2'
loop_
_atom_site_label
_atom_site_type_symbol
_atom_site_fract_x
_atom_site_fract_y
_atom_site_fract_z
_atom_site_occupancy
Hg1 Hg 0.0000 0.0000 0.0000 1
Te1 Te 0.0000 0.5000 0.2500 1
P1 P 0.0000 0.0000 0.5000 1
P2 P 0.0000 0.5000 0.7500 1
```

*two*
Here is a relaxed HgTeP2 crystal from Alexandria via LeMat-Bulk. Energies are from PBE.

```
data_HgTeP2
_cell_length_a 8.3364
_cell_length_b 3.2127
_cell_length_c 7.7303
_cell_angle_alpha 90.00
_cell_angle_beta 93.58
_cell_angle_gamma 90.00
_symmetry_space_group_name_H-M 'C 1 m 1'
_symmetry_Int_Tables_number 8
_symmetry_space_group_name_Hall 'C -2y'
loop_
_atom_site_label
_atom_site_type_symbol
_atom_site_fract_x
_atom_site_fract_y
_atom_site_fract_z
_atom_site_occupancy
Hg1 Hg 0.0000 0.0000 0.0000 1
Te1 Te 0.2429 0.5000 0.7277 1
P1 P 0.0634 0.5000 0.4223 1
P2 P 0.1851 0.0000 0.2878 1
```

So which one wins? Going from most stable to least: *two*, *one*.

*one*
Here is a relaxed HgTe2P2 crystal from Alexandria via LeMat-Bulk. Energies are from PBE.

```
data_HgTe2P2
_cell_length_a 4.9895
_cell_length_b 4.9895
_cell_length_c 12.8806
_cell_angle_alpha 90.00
_cell_angle_beta 90.00
_cell_angle_gamma 90.00
_symmetry_space_group_name_H-M 'I 4/m m m'
_symmetry_Int_Tables_number 139
_symmetry_space_group_name_Hall '-I 4 2'
loop_
_atom_site_label
_atom_site_type_symbol
_atom_site_fract_x
_atom_site_fract_y
_atom_site_fract_z
_atom_site_occupancy
Hg1 Hg 0.0000 0.0000 0.0000 1
Te1 Te 0.0000 0.0000 0.3267 1
P1 P 0.0000 0.5000 0.2500 1
```

*two*
Here is a relaxed HgTe2P2 crystal from Alexandria via LeMat-Bulk. Energies are from PBE.

```
data_HgTe2P2
_cell_length_a 5.4381
_cell_length_b 5.4381
_cell_length_c 8.3920
_cell_angle_alpha 90.00
_cell_angle_beta 90.00
_cell_angle_gamma 90.00
_symmetry_space_group_name_H-M 'I 4/m m m'
_symmetry_Int_Tables_number 139
_symmetry_space_group_name_Hall '-I 4 2'
loop_
_atom_site_label
_atom_site_type_symbol
_atom_site_fract_x
_atom_site_fract_y
_atom_site_fract_z
_atom_site_occupancy
Hg1 Hg 0.0000 0.0000 0.0000 1
Te1 Te 0.0000 0.5000 0.2500 1
P1 P 0.0000 0.0000 0.3613 1
```

So which one wins? Going from most stable to least: *two*, *one*.

*one*
Here is a relaxed Hg2TeP crystal from Alexandria via LeMat-Bulk. Energies are from PBE.

```
data_Hg2TeP
_cell_length_a 7.2608
_cell_length_b 7.2608
_cell_length_c 7.2608
_cell_angle_alpha 90.00
_cell_angle_beta 90.00
_cell_angle_gamma 90.00
_symmetry_space_group_name_H-M 'F -4 3 m'
_symmetry_Int_Tables_number 216
_symmetry_space_group_name_Hall 'F -4 2 3'
loop_
_atom_site_label
_atom_site_type_symbol
_atom_site_fract_x
_atom_site_fract_y
_atom_site_fract_z
_atom_site_occupancy
Hg1 Hg 0.0000 0.0000 0.0000 1
Hg2 Hg 0.2500 0.2500 0.2500 1
Te1 Te 0.0000 0.0000 0.5000 1
P1 P 0.2500 0.2500 0.7500 1
```

*two*
Here is a relaxed Hg2TeP crystal from Alexandria via LeMat-Bulk. Energies are from PBE.

```
data_Hg2TeP
_cell_length_a 3.1840
_cell_length_b 3.6644
_cell_length_c 9.4011
_cell_angle_alpha 90.00
_cell_angle_beta 99.45
_cell_angle_gamma 90.00
_symmetry_space_group_name_H-M 'P 1 m 1'
_symmetry_Int_Tables_number 6
_symmetry_space_group_name_Hall 'P -2y'
loop_
_atom_site_label
_atom_site_type_symbol
_atom_site_fract_x
_atom_site_fract_y
_atom_site_fract_z
_atom_site_occupancy
Hg1 Hg 0.0000 0.0000 0.0000 1
Hg2 Hg 0.3791 0.5000 0.7558 1
Te1 Te 0.1615 0.5000 0.3104 1
P1 P 0.2565 0.0000 0.5072 1
```

*three*
Here is a relaxed Hg2TeP crystal from Alexandria via LeMat-Bulk. Energies are from PBE.

```
data_Hg2TeP
_cell_length_a 3.5474
_cell_length_b 7.1503
_cell_length_c 10.7146
_cell_angle_alpha 90.00
_cell_angle_beta 90.00
_cell_angle_gamma 90.00
_symmetry_space_group_name_H-M 'C m m 2'
_symmetry_Int_Tables_number 35
_symmetry_space_group_name_Hall 'C 2 -2'
loop_
_atom_site_label
_atom_site_type_symbol
_atom_site_fract_x
_atom_site_fract_y
_atom_site_fract_z
_atom_site_occupancy
Hg1 Hg 0.0000 0.0000 0.0000 1
Hg2 Hg 0.0000 0.5000 0.2794 1
Te1 Te 0.0000 0.5000 0.6907 1
P1 P 0.0000 0.0000 0.5306 1
```

So which one wins? Going from most stable to least: *two*, *three*, *one*.